one.
Computed, not measured: an optimized crystal structure of HfTiAs2 at the PBE level of DFT.

Cell: 4.6319 4.6319 4.6319 Å, 60.00 60.00 60.00°
Last column: magnetic moment on the atom in μB.
Positions (direct):
As 0.7500 0.7500 0.7500  0.01
As 0.2500 0.2500 0.2500  0.01
Ti 0.0000 0.0000 0.0000  0.45
Hf 0.5000 0.5000 0.5000  0.12

Results
**Crystal system**: cubic

***

two.
Computed, not measured: an optimized crystal structure of HfTiAs2 at the PBE level of DFT.

Cell: 3.6955 3.6955 6.7190 Å, 74.04 74.04 60.00°
Positions (direct):
Hf 0.6710 0.6710 0.9870
Ti 0.4948 0.4948 0.5156
As 0.2472 0.2472 0.2583
As 0.0870 0.0870 0.7391

Results
**Crystal system**: trigonal

***

three.
Computed, not measured: an optimized crystal structure of HfTiAs2 at the PBE level of DFT.

Cell: 3.7603 3.7603 6.4922 Å, 73.17 73.17 60.00°
Positions (direct):
Ti 0.0000 0.0000 0.0000
As 0.7459 0.7459 0.7622
As 0.2541 0.2541 0.2378
Hf 0.5000 0.5000 0.5000

Results
**Crystal system**: trigonal

***

Most stable: two. Least stable: one.

***

one.
Computed, not measured: an optimized crystal structure of HfTiAs2 at the PBE level of DFT.

Cell: 5.8767 5.8767 7.2248 Å, 66.00 66.00 90.00°
Positions (direct):
As 0.1394 0.6250 0.2500
As 0.6106 0.1250 0.2500
As 0.8750 0.8606 0.7500
As 0.3750 0.3894 0.7500
Hf 0.0000 0.0000 0.0000
Hf 0.7500 0.2500 0.5000
Ti 0.5000 0.5000 0.0000
Ti 0.2500 0.7500 0.5000

Results
**Crystal system**: tetragonal

***

two.
Computed, not measured: an optimized crystal structure of HfTiAs2 at the PBE level of DFT.

Cell: 3.7325 3.7325 6.3299 Å, 90.00 90.00 60.00°
Positions (direct):
Ti 0.0000 0.0000 0.0000
As 0.3333 0.3333 0.7629
As 0.6667 0.6667 0.2371
Hf 0.0000 0.0000 0.5000

Results
**Crystal system**: trigonal

***

Most stable: two. Least stable: one.

***

one.
Computed, not measured: an optimized crystal structure of HfTi3As at the PBE level of DFT.

Cell: 3.4436 8.7031 11.8734 Å, 90.00 90.00 90.00°
Positions (direct):
As 0.7500 0.8488 0.3720
As 0.2500 0.1512 0.6280
As 0.2500 0.6512 0.8720
As 0.7500 0.3488 0.1280
Hf 0.2500 0.1606 0.0033
Hf 0.7500 0.3394 0.5033
Hf 0.2500 0.6606 0.4967
Hf 0.7500 0.8394 0.9967
Ti 0.7500 0.5755 0.2808
Ti 0.2500 0.5666 0.0848
Ti 0.2500 0.3271 0.2936
Ti 0.2500 0.8271 0.2064
Ti 0.2500 0.9245 0.7808
Ti 0.7500 0.9334 0.5848
Ti 0.7500 0.4334 0.9152
Ti 0.2500 0.0666 0.4152
Ti 0.7500 0.0755 0.2192
Ti 0.7500 0.1729 0.7936
Ti 0.7500 0.6729 0.7064
Ti 0.2500 0.4245 0.7192

Results
**Crystal system**: orthorhombic

***

two.
Computed, not measured: an optimized crystal structure of HfTi3As at the PBE level of DFT.

Cell: 4.8254 4.8254 4.8254 Å, 90.00 90.00 90.00°
Last column: magnetic moment on the atom in μB.
Positions (direct):
Hf 0.0000 0.0000 0.0000  0.04
Ti 0.0000 0.5000 0.0000  0.52
Ti 0.5000 0.0000 0.0000  0.73
Ti 0.0000 0.0000 0.5000  0.34
As 0.5000 0.5000 0.5000  -0.04

Results
**Crystal system**: cubic

***

Most stable: one. Least stable: two.

***

one.
Computed, not measured: an optimized crystal structure of Hf2TlAs at the PBE level of DFT.

Cell: 3.6565 3.6565 7.9356 Å, 76.68 76.68 60.00°
Positions (direct):
Tl 0.5000 0.5000 0.5000
Hf 0.2653 0.2653 0.2040
Hf 0.7347 0.7347 0.7960
As 0.0000 0.0000 0.0000

Results
**Crystal system**: trigonal

***

two.
Computed, not measured: an optimized crystal structure of Hf2TlAs at the PBE level of DFT.

Cell: 5.8917 5.8917 8.0738 Å, 68.60 68.60 90.00°
Positions (direct):
Hf 0.5934 0.1250 0.2500
Hf 0.8750 0.8434 0.7500
Hf 0.3750 0.4066 0.7500
Hf 0.1566 0.6250 0.2500
Tl 0.0000 0.0000 0.0000
Tl 0.7500 0.2500 0.5000
As 0.2500 0.7500 0.5000
As 0.5000 0.5000 0.0000

Results
**Crystal system**: tetragonal

***

Most stable: one. Least stable: two.